(1)
# GGA-PBEsol HgTePb2, relaxed
# Calculated volume ... 112.75 Å³/f.u.
# Raw total energy ... -48.93 eV/cell
data_HgTePb2
_chemical_formula_sum 'Hg4 Te4 Pb8'
_cell_length_a 7.669
_cell_length_b 7.669
_cell_length_c 7.669
_cell_angle_alpha 90.00
_cell_angle_beta 90.00
_cell_angle_gamma 90.00
_space_group_name_H-M_alt 'F m -3 m'
_space_group_IT_number 225
_space_group_name_Hall '-F 4 2 3'
loop_
_atom_site_label
_atom_site_fract_x
_atom_site_fract_y
_atom_site_fract_z
Hg1 0.000 0.000 0.000
Te1 0.000 0.000 0.500
Pb1 0.250 0.250 0.250

---

(2)
# GGA-PBEsol Tl2Hg2Pb, relaxed
# Formation energy ... 57 meV per atom
# Calculated volume ... 135.90 Å³/f.u.
data_Tl2Hg2Pb
_chemical_formula_sum 'Tl4 Hg4 Pb2'
_cell_length_a 8.534
_cell_length_b 8.534
_cell_length_c 3.732
_cell_angle_alpha 90.00
_cell_angle_beta 90.00
_cell_angle_gamma 90.00
_space_group_name_H-M_alt 'P 4/m b m'
_space_group_IT_number 127
_space_group_name_Hall '-P 4 2ab'
loop_
_atom_site_label
_atom_site_fract_x
_atom_site_fract_y
_atom_site_fract_z
Tl1 0.141 0.359 0.000
Hg1 0.159 0.659 0.500
Pb1 0.000 0.000 0.000

---

(3)
# GGA-PBEsol TlHg2Pb, relaxed
# Formation energy ... 24 meV per atom
# Calculated volume ... 104.28 Å³/f.u.
data_TlHg2Pb
_chemical_formula_sum 'Tl2 Hg4 Pb2'
_cell_length_a 3.842
_cell_length_b 5.331
_cell_length_c 10.184
_cell_angle_alpha 90.00
_cell_angle_beta 90.00
_cell_angle_gamma 90.00
_space_group_name_H-M_alt 'I m m m'
_space_group_IT_number 71
_space_group_name_Hall '-I 2 2'
loop_
_atom_site_label
_atom_site_fract_x
_atom_site_fract_y
_atom_site_fract_z
Tl1 0.000 0.000 0.000
Hg1 0.000 0.500 0.251
Pb1 0.000 0.000 0.500

---

(4)
# GGA-PBEsol TlHg2Pb, relaxed
# Formation energy ... 20 meV per atom
# Calculated volume ... 105.63 Å³/f.u.
data_TlHg2Pb
_chemical_formula_sum 'Tl2 Hg4 Pb2'
_cell_length_a 3.497
_cell_length_b 5.565
_cell_length_c 10.857
_cell_angle_alpha 90.00
_cell_angle_beta 90.00
_cell_angle_gamma 90.00
_space_group_name_H-M_alt 'C m m m'
_space_group_IT_number 65
_space_group_name_Hall '-C 2 2'
loop_
_atom_site_label
_atom_site_fract_x
_atom_site_fract_y
_atom_site_fract_z
Tl1 0.000 0.000 0.000
Hg1 0.000 0.500 0.249
Pb1 0.000 0.000 0.500

---

(5)
# GGA-PBEsol TlHg2Pb, relaxed
# Formation energy ... -4 meV per atom
# Calculated volume ... 103.99 Å³/f.u.
data_TlHg2Pb
_chemical_formula_sum 'Tl1 Hg2 Pb1'
_cell_length_a 5.302
_cell_length_b 5.302
_cell_length_c 3.699
_cell_angle_alpha 90.00
_cell_angle_beta 90.00
_cell_angle_gamma 90.00
_space_group_name_H-M_alt 'P 4/m m m'
_space_group_IT_number 123
_space_group_name_Hall '-P 4 2'
loop_
_atom_site_label
_atom_site_fract_x
_atom_site_fract_y
_atom_site_fract_z
Tl1 0.000 0.000 0.000
Hg1 0.000 0.500 0.500
Pb1 0.500 0.500 0.000

---

(6)
# GGA-PBEsol TlHg2Pb, relaxed
# Formation energy ... 25 meV per atom
# Calculated volume ... 104.45 Å³/f.u.
data_TlHg2Pb
_chemical_formula_sum 'Tl2 Hg4 Pb2'
_cell_length_a 5.787
_cell_length_b 3.331
_cell_length_c 11.024
_cell_angle_alpha 90.00
_cell_angle_beta 100.61
_cell_angle_gamma 90.00
_space_group_name_H-M_alt 'C 1 2/m 1'
_space_group_IT_number 12
loop_
_space_group_symop_operation_xyz
'x,y,z'
'-x,-y,-z'
'-x,y,-z'
'x,-y,z'
'x+1/2,y+1/2,z'
'-x+1/2,-y+1/2,-z'
'-x+1/2,y+1/2,-z'
'x+1/2,-y+1/2,z'
loop_
_atom_site_label
_atom_site_fract_x
_atom_site_fract_y
_atom_site_fract_z
Tl1 0.000 0.000 0.000
Hg1 0.249 0.500 0.247
Pb1 0.000 0.500 0.500

---

(7)
# GGA-PBEsol TlHgPb, relaxed
# Formation energy ... 12 meV per atom
# Calculated volume ... 80.29 Å³/f.u.
data_TlHgPb
_chemical_formula_sum 'Tl2 Hg2 Pb2'
_cell_length_a 5.103
_cell_length_b 4.587
_cell_length_c 7.298
_cell_angle_alpha 90.00
_cell_angle_beta 109.95
_cell_angle_gamma 90.00
_space_group_name_H-M_alt 'C 1 m 1'
_space_group_IT_number 8
loop_
_space_group_symop_operation_xyz
'x,y,z'
'x,-y,z'
'x+1/2,y+1/2,z'
'x+1/2,-y+1/2,z'
loop_
_atom_site_label
_atom_site_fract_x
_atom_site_fract_y
_atom_site_fract_z
Tl1 0.000 0.000 0.000
Hg1 0.156 0.500 0.313
Pb1 0.318 0.000 0.633

---

(8)
# GGA-PBEsol TlHg2Pb, relaxed
# Formation energy ... 18 meV per atom
# Calculated volume ... 104.77 Å³/f.u.
data_TlHg2Pb
_chemical_formula_sum 'Tl1 Hg2 Pb1'
_cell_length_a 3.396
_cell_length_b 4.887
_cell_length_c 6.312
_cell_angle_alpha 90.00
_cell_angle_beta 90.00
_cell_angle_gamma 90.00
_space_group_name_H-M_alt 'P m m 2'
_space_group_IT_number 25
loop_
_space_group_symop_operation_xyz
'x,y,z'
'-x,-y,z'
'-x,y,z'
'x,-y,z'
loop_
_atom_site_label
_atom_site_fract_x
_atom_site_fract_y
_atom_site_fract_z
Tl1 0.000 0.000 0.000
Hg1 0.000 0.000 0.492
Hg2 0.500 0.500 0.240
Pb1 0.500 0.500 0.732

---

(9)
# GGA-PBEsol Tl2Hg2Pb, relaxed
# Formation energy ... 112 meV per atom
# Calculated volume ... 139.71 Å³/f.u.
data_Tl2Hg2Pb
_chemical_formula_sum 'Tl4 Hg4 Pb2'
_cell_length_a 4.430
_cell_length_b 4.430
_cell_length_c 14.235
_cell_angle_alpha 90.00
_cell_angle_beta 90.00
_cell_angle_gamma 90.00
_space_group_name_H-M_alt 'I 4/m m m'
_space_group_IT_number 139
_space_group_name_Hall '-I 4 2'
loop_
_atom_site_label
_atom_site_fract_x
_atom_site_fract_y
_atom_site_fract_z
Tl1 0.000 0.500 0.250
Hg1 0.000 0.000 0.097
Pb1 0.000 0.000 0.500

---

(10)
# GGA-PBEsol TlHgPb, relaxed
# Formation energy ... 18 meV per atom
# Calculated volume ... 81.33 Å³/f.u.
data_TlHgPb
_chemical_formula_sum 'Tl4 Hg4 Pb4'
_cell_length_a 3.656
_cell_length_b 5.587
_cell_length_c 15.928
_cell_angle_alpha 90.00
_cell_angle_beta 90.00
_cell_angle_gamma 90.00
_space_group_name_H-M_alt 'F m m 2'
_space_group_IT_number 42
_space_group_name_Hall 'F 2 -2'
loop_
_atom_site_label
_atom_site_fract_x
_atom_site_fract_y
_atom_site_fract_z
Tl1 0.000 0.000 0.000
Hg1 0.000 0.000 0.341
Pb1 0.000 0.000 0.679

---

(11)
# GGA-PBEsol TlHg2Pb, relaxed
# Formation energy ... 22 meV per atom
# Calculated volume ... 103.67 Å³/f.u.
data_TlHg2Pb
_chemical_formula_sum 'Tl2 Hg4 Pb2'
_cell_length_a 4.465
_cell_length_b 4.465
_cell_length_c 10.401
_cell_angle_alpha 90.00
_cell_angle_beta 90.00
_cell_angle_gamma 90.00
_space_group_name_H-M_alt 'I -4 m 2'
_space_group_IT_number 119
_space_group_name_Hall 'I -4 -2'
loop_
_atom_site_label
_atom_site_fract_x
_atom_site_fract_y
_atom_site_fract_z
Tl1 0.000 0.000 0.000
Hg1 0.000 0.000 0.500
Hg2 0.000 0.500 0.250
Pb1 0.000 0.500 0.750

---

(12)
# GGA-PBEsol TlHg2Pb, relaxed
# Formation energy ... -2 meV per atom
# Calculated volume ... 104.58 Å³/f.u.
data_TlHg2Pb
_chemical_formula_sum 'Tl1 Hg2 Pb1'
_cell_length_a 3.387
_cell_length_b 5.177
_cell_length_c 6.202
_cell_angle_alpha 90.00
_cell_angle_beta 105.90
_cell_angle_gamma 90.00
_space_group_name_H-M_alt 'P 1 m 1'
_space_group_IT_number 6
loop_
_space_group_symop_operation_xyz
'x,y,z'
'x,-y,z'
loop_
_atom_site_label
_atom_site_fract_x
_atom_site_fract_y
_atom_site_fract_z
Tl1 0.000 0.000 0.000
Hg1 0.596 0.500 0.178
Hg2 0.736 0.000 0.482
Pb1 0.322 0.500 0.656

---

(13)
# GGA-PBEsol TlHg2Pb, relaxed
# Formation energy ... 14 meV per atom
# Calculated volume ... 104.69 Å³/f.u.
data_TlHg2Pb
_chemical_formula_sum 'Tl3 Hg6 Pb3'
_cell_length_a 3.4104
_cell_length_b 3.4104
_cell_length_c 31.1810
_cell_angle_alpha 90.00
_cell_angle_beta 90.00
_cell_angle_gamma 120.00
_space_group_name_H-M_alt 'R 3 m'
_space_group_IT_number 160
_space_group_name_Hall 'R 3 -2"'
loop_
_atom_site_label
_atom_site_fract_x
_atom_site_fract_y
_atom_site_fract_z
Tl1 0.0000 0.0000 0.0000
Hg1 0.0000 0.0000 0.4910
Hg2 0.0000 0.0000 0.7493
Pb1 0.0000 0.0000 0.2416

---

(14)
# GGA-PBEsol TlHgPb, relaxed
# Formation energy ... 5 meV per atom
# Calculated volume ... 81.51 Å³/f.u.
data_TlHgPb
_chemical_formula_sum 'Tl1 Hg1 Pb1'
_cell_length_a 5.2752
_cell_length_b 5.2752
_cell_length_c 3.3821
_cell_angle_alpha 90.00
_cell_angle_beta 90.00
_cell_angle_gamma 120.00
_space_group_name_H-M_alt 'P 3 m 1'
_space_group_IT_number 156
loop_
_space_group_symop_operation_xyz
'x,y,z'
'-y,x-y,z'
'-x+y,-x,z'
'-y,-x,z'
'-x+y,y,z'
'x,x-y,z'
loop_
_atom_site_label
_atom_site_fract_x
_atom_site_fract_y
_atom_site_fract_z
Tl1 0.0000 0.0000 0.0000
Hg1 0.3333 0.6667 0.6994
Pb1 0.6667 0.3333 0.4637

---

(15)
# GGA-PBEsol TlHg2Pb, relaxed
# Formation energy ... 14 meV per atom
# Calculated volume ... 105.54 Å³/f.u.
data_TlHg2Pb
_chemical_formula_sum 'Tl2 Hg4 Pb2'
_cell_length_a 6.646
_cell_length_b 10.221
_cell_length_c 3.352
_cell_angle_alpha 90.00
_cell_angle_beta 112.04
_cell_angle_gamma 90.00
_space_group_name_H-M_alt 'C 1 2/m 1'
_space_group_IT_number 12
loop_
_space_group_symop_operation_xyz
'x,y,z'
'-x,-y,-z'
'-x,y,-z'
'x,-y,z'
'x+1/2,y+1/2,z'
'-x+1/2,-y+1/2,-z'
'-x+1/2,y+1/2,-z'
'x+1/2,-y+1/2,z'
loop_
_atom_site_label
_atom_site_fract_x
_atom_site_fract_y
_atom_site_fract_z
Tl1 0.000 0.000 0.000
Hg1 0.250 0.250 0.500
Pb1 0.000 0.500 0.000